1.
# BaAg2GeSe2S2

Crystalline BaAg2GeSe2S2 at its relaxed geometry (GGA-PBE, OQMD).

Output
VASP energy in eV/cell: -33.3
Space-group type: Fmm2 (42)
Density in Mg/m³: 5.162
Energy relative to the lowest polymorph listed for this composition in meV per atom: 6

Unit cell a=6.553 b=6.477 c=7.044 alpha=57.80 beta=56.76 gamma=65.44
Sites, in units of the cell vectors:
Ag: 0.259 0.259 0.241
Ag: 0.759 0.759 0.741
Ba: 0.002 0.002 0.998
Ge: 0.489 0.489 0.511
S: 0.528 0.151 0.472
S: 0.151 0.528 0.849
Se: 0.464 0.849 0.151
Se: 0.849 0.464 0.536

2.
# HfBeNb2

Crystalline HfBeNb2 at its relaxed geometry (GGA-PBE, OQMD).

Output
VASP energy in eV/cell: -33.3
Space-group type: F-43m (216)
Density in Mg/m³: 9.044

Unit cell a=4.594 b=4.594 c=4.594 alpha=60.00 beta=60.00 gamma=60.00
Sites, in units of the cell vectors:
Be: 0.500 0.500 0.500
Hf: 0.250 0.250 0.250
Nb: 0.000 0.000 0.000
Nb: 0.750 0.750 0.750

3.
# PrSmGeF2

Crystalline PrSmGeF2 at its relaxed geometry (GGA-PBE, OQMD).

Output
VASP energy in eV/cell: -30.2
Space-group type: P3m1 (156)
Density in Mg/m³: 6.562

Unit cell a=4.136 b=4.136 c=6.865 alpha=90.00 beta=90.00 gamma=120.00
Sites, in units of the cell vectors:
F: 0.333 0.667 0.108
F: 0.667 0.333 0.901
Ge: 0.000 0.000 0.494
Pr: 0.333 0.667 0.744
Sm: 0.667 0.333 0.253

4.
# GdAlPO

Crystalline GdAlPO at its relaxed geometry (GGA-PBE, OQMD).

Output
VASP energy in eV/cell: -45.7
Space-group type: P4/nmm (129)
Density in Mg/m³: 4.967
Energy relative to the lowest polymorph listed for this composition in meV per atom: 698

Unit cell a=4.050 b=4.050 c=9.423 alpha=90.00 beta=90.00 gamma=90.00
Sites, in units of the cell vectors:
Al: 0.500 0.000 0.057
Al: 0.000 0.500 0.943
Gd: 0.000 0.000 0.500
Gd: 0.500 0.500 0.500
O: 0.000 0.000 0.000
O: 0.500 0.500 0.000
P: 0.500 0.000 0.300
P: 0.000 0.500 0.700

5.
# Sr2AlOsN6

Crystalline Sr2AlOsN6 at its relaxed geometry (GGA-PBE, OQMD).

Output
VASP energy in eV/cell: -68.3
Space-group type: I4/m (87)
Density in Mg/m³: 6.620

Unit cell a=5.530 b=5.530 c=5.530 alpha=120.03 beta=120.03 gamma=89.94
Sites, in units of the cell vectors:
Al: 0.000 0.000 0.000
N: 0.250 0.250 0.000
N: 0.750 0.750 0.000
N: 0.755 0.255 0.011
N: 0.255 0.245 0.500
N: 0.745 0.755 0.500
N: 0.245 0.745 0.989
Os: 0.500 0.500 0.000
Sr: 0.750 0.250 0.500
Sr: 0.250 0.750 0.500

6.
# ScTcNiSb

Crystalline ScTcNiSb at its relaxed geometry (GGA-PBE, OQMD).

Output
VASP energy in eV/cell: -27.5
Space-group type: F-43m (216)
Density in Mg/m³: 8.321
Energy relative to the lowest polymorph listed for this composition in meV per atom: 0

Unit cell a=4.502 b=4.502 c=4.502 alpha=60.00 beta=60.00 gamma=60.00
Sites, in units of the cell vectors:
Ni: 0.750 0.750 0.750
Sb: 0.000 0.000 0.000
Sc: 0.500 0.500 0.500
Tc: 0.250 0.250 0.250

7.
# ZrSn2Ir

Crystalline ZrSn2Ir at its relaxed geometry (GGA-PBE, OQMD).

Output
VASP energy in eV/cell: -25.7
Space-group type: F-43m (216)
Density in Mg/m³: 10.445

Unit cell a=4.892 b=4.892 c=4.892 alpha=60.00 beta=60.00 gamma=60.00
Sites, in units of the cell vectors:
Ir: 0.500 0.500 0.500
Sn: 0.000 0.000 0.000
Sn: 0.250 0.250 0.250
Zr: 0.750 0.750 0.750

8.
# CdCoCuSi

Crystalline CdCoCuSi at its relaxed geometry (GGA-PBE, OQMD).

Output
VASP energy in eV/cell: -16.4
Space-group type: F-43m (216)
Density in Mg/m³: 8.079
Energy relative to the lowest polymorph listed for this composition in meV per atom: 0

Unit cell a=4.244 b=4.244 c=4.244 alpha=60.00 beta=60.00 gamma=60.00
Sites, in units of the cell vectors:
Cd: 0.500 0.500 0.500
Co: 0.750 0.750 0.750
Cu: 0.250 0.250 0.250
Si: 0.000 0.000 0.000

9.
# DyCuSi2Ni

Crystalline DyCuSi2Ni at its relaxed geometry (GGA-PBE, OQMD).

Output
VASP energy in eV/cell: -28.3
Space-group type: I-4m2 (119)
Density in Mg/m³: 7.415

Unit cell a=5.607 b=5.607 c=5.607 alpha=138.58 beta=138.58 gamma=60.01
Sites, in units of the cell vectors:
Cu: 0.000 0.000 0.000
Dy: 0.750 0.250 0.500
Ni: 0.500 0.500 0.000
Si: 0.128 0.628 0.500
Si: 0.372 0.872 0.500

10.
# DyP4Au2

Crystalline DyP4Au2 at its relaxed geometry (GGA-PBE, OQMD).

Output
VASP energy in eV/cell: -32.8
Space-group type: I4/mmm (139)
Density in Mg/m³: 7.422

Unit cell a=5.977 b=5.977 c=5.977 alpha=101.36 beta=101.36 gamma=127.31
Sites, in units of the cell vectors:
Au: 0.750 0.250 0.500
Au: 0.250 0.750 0.500
Dy: 0.000 0.000 0.000
P: 0.710 0.500 0.210
P: 0.500 0.710 0.210
P: 0.500 0.290 0.790
P: 0.290 0.500 0.790

11.
# TbPrMg

Crystalline TbPrMg at its relaxed geometry (GGA-PBE, OQMD).

Output
VASP energy in eV/cell: -9.8
Space-group type: F-43m (216)
Density in Mg/m³: 5.075
Energy relative to the lowest polymorph listed for this composition in meV per atom: 0

Unit cell a=5.313 b=5.313 c=5.313 alpha=60.00 beta=60.00 gamma=60.00
Sites, in units of the cell vectors:
Mg: 0.000 0.000 0.000
Pr: 0.250 0.250 0.250
Tb: 0.750 0.750 0.750

12.
# BaLiBiPt

Crystalline BaLiBiPt at its relaxed geometry (GGA-PBE, OQMD).

Output
VASP energy in eV/cell: -14.9
Space-group type: F-43m (216)
Density in Mg/m³: 8.277
Energy relative to the lowest polymorph listed for this composition in meV per atom: 248

Unit cell a=5.378 b=5.378 c=5.378 alpha=60.00 beta=60.00 gamma=60.00
Sites, in units of the cell vectors:
Ba: 0.250 0.250 0.250
Bi: 0.000 0.000 0.000
Li: 0.750 0.750 0.750
Pt: 0.500 0.500 0.500

13.
# TaCoSb2

Crystalline TaCoSb2 at its relaxed geometry (GGA-PBE, OQMD).

Output
VASP energy in eV/cell: -24.5
Space-group type: F-43m (216)
Density in Mg/m³: 10.412

Unit cell a=4.777 b=4.777 c=4.777 alpha=60.00 beta=60.00 gamma=60.00
Sites, in units of the cell vectors:
Co: 0.250 0.250 0.250
Sb: 0.000 0.000 0.000
Sb: 0.750 0.750 0.750
Ta: 0.500 0.500 0.500

14.
# Nb9Mo7

Crystalline Nb9Mo7 at its relaxed geometry (GGA-PBE, OQMD).

Output
VASP energy in eV/cell: -168.4
Space-group type: Pm-3m (221)
Density in Mg/m³: 9.196
Formation energy from the elements in eV/atom: -0.102

Unit cell a=6.481 b=6.481 c=6.481 alpha=90.00 beta=90.00 gamma=90.00
Sites, in units of the cell vectors:
Mo: 0.000 0.000 0.000
Mo: 0.500 0.000 0.000
Mo: 0.000 0.500 0.000
Mo: 0.500 0.500 0.000
Mo: 0.000 0.000 0.500
Mo: 0.500 0.000 0.500
Mo: 0.000 0.500 0.500
Nb: 0.248 0.248 0.248
Nb: 0.752 0.248 0.248
Nb: 0.248 0.752 0.248
Nb: 0.752 0.752 0.248
Nb: 0.500 0.500 0.500
Nb: 0.248 0.248 0.752
Nb: 0.752 0.248 0.752
Nb: 0.248 0.752 0.752
Nb: 0.752 0.752 0.752

15.
# Li2Nb2AlGaOs2

Crystalline Li2Nb2AlGaOs2 at its relaxed geometry (GGA-PBE, OQMD).

Output
VASP energy in eV/cell: -55.8
Space-group type: P-4m2 (115)
Density in Mg/m³: 9.554

Unit cell a=4.365 b=4.365 c=6.174 alpha=90.00 beta=90.00 gamma=90.00
Sites, in units of the cell vectors:
Al: 0.000 0.000 0.000
Ga: 0.500 0.500 0.500
Li: 0.500 0.000 0.251
Li: 0.000 0.500 0.749
Nb: 0.500 0.500 0.000
Nb: 0.000 0.000 0.500
Os: 0.000 0.500 0.247
Os: 0.500 0.000 0.753

16.
# BaZn

Crystalline BaZn at its relaxed geometry (GGA-PBE, OQMD).

Output
VASP energy in eV/cell: -13.1
Space-group type: Pbcm (57)
Density in Mg/m³: 4.569

Unit cell a=6.041 b=8.097 c=6.025 alpha=90.00 beta=90.00 gamma=90.00
Sites, in units of the cell vectors:
Ba: 0.921 0.418 0.000
Ba: 0.421 0.832 0.000
Ba: 0.412 0.418 0.500
Ba: 0.912 0.832 0.500
Zn: 0.924 0.020 0.000
Zn: 0.424 0.230 0.000
Zn: 0.409 0.020 0.500
Zn: 0.909 0.230 0.500

17.
# Li2Sc2GePd2Pb

Crystalline Li2Sc2GePd2Pb at its relaxed geometry (GGA-PBE, OQMD).

Output
VASP energy in eV/cell: -40.5
Space-group type: P-4m2 (115)
Density in Mg/m³: 7.336

Unit cell a=4.549 b=4.549 c=6.524 alpha=90.00 beta=90.00 gamma=90.00
Sites, in units of the cell vectors:
Ge: 0.000 0.000 0.000
Li: 0.500 0.000 0.230
Li: 0.000 0.500 0.770
Pb: 0.500 0.500 0.500
Pd: 0.000 0.500 0.229
Pd: 0.500 0.000 0.771
Sc: 0.500 0.500 0.000
Sc: 0.000 0.000 0.500

18.
# NaPuPb

Crystalline NaPuPb at its relaxed geometry (GGA-PBE, OQMD).

Output
VASP energy in eV/cell: -18.7
Space-group type: F-43m (216)
Density in Mg/m³: 7.760
Energy relative to the lowest polymorph listed for this composition in meV per atom: 0

Unit cell a=5.235 b=5.235 c=5.235 alpha=60.00 beta=60.00 gamma=60.00
Sites, in units of the cell vectors:
Na: 0.500 0.500 0.500
Pb: 0.250 0.250 0.250
Pu: 0.000 0.000 0.000

19.
# HoZr

Crystalline HoZr at its relaxed geometry (GGA-PBE, OQMD).

Output
VASP energy in eV/cell: -52.2
Space-group type: Pbcm (57)
Density in Mg/m³: 7.912
Formation energy from the elements in eV/atom: 0.036

Unit cell a=5.785 b=6.981 c=5.325 alpha=90.00 beta=90.00 gamma=90.00
Sites, in units of the cell vectors:
Ho: 0.984 0.481 0.000
Ho: 0.484 0.769 0.000
Ho: 0.349 0.481 0.500
Ho: 0.849 0.769 0.500
Zr: 0.011 0.022 0.000
Zr: 0.511 0.228 0.000
Zr: 0.322 0.022 0.500
Zr: 0.822 0.228 0.500

20.
# CuTeMoAs

Crystalline CuTeMoAs at its relaxed geometry (GGA-PBE, OQMD).

Output
VASP energy in eV/cell: -19.3
Space-group type: F-43m (216)
Density in Mg/m³: 8.390
Energy relative to the lowest polymorph listed for this composition in meV per atom: 350

Unit cell a=4.662 b=4.662 c=4.662 alpha=60.00 beta=60.00 gamma=60.00
Sites, in units of the cell vectors:
As: 0.250 0.250 0.250
Cu: 0.750 0.750 0.750
Mo: 0.000 0.000 0.000
Te: 0.500 0.500 0.500